Entry 1:
VASP calculation (PBE-GGA) on a geometry-optimized AcHo2Tm5 structure.

Summary:
For the formation energy, the calculation gives 0.046 eV per atom. The calculated volume is 31.599 Å³/atom. The total magnetization is 0.00 μB per atom.

POSCAR file:
```
AcHo2Tm5
1.0
6.215 -0.184 -3.403
-3.989 5.852 -0.279
-0.125 0.184 7.084
Tm Ho Ac
5 2 1
direct
0.500 0.222 0.222
0.000 0.722 0.222
0.500 0.722 0.722
0.000 0.222 0.722
0.000 0.722 0.722
0.500 0.722 0.222
0.500 0.222 0.722
0.000 0.222 0.222
```

Entry 2:
VASP calculation (PBE-GGA) on a geometry-optimized Si2PW structure.

Summary:
The calculated volume is 14.111 Å³/atom. As for the formation energy without anion corrections: 471 meV per atom. The total magnetization is 0.00 μB per atom.

POSCAR file:
```
Si2PW
1.0
4.411 0.035 0.000
0.505 4.382 0.000
-2.458 -2.209 2.922
P Si W
1 2 1
direct
0.750 0.250 0.500
0.000 0.000 0.000
0.250 0.750 0.500
0.500 0.500 0.000
```

Entry 3:
VASP calculation (PBE-GGA) on a geometry-optimized PuZrTc structure.

Summary:
For the formation energy, the calculation gives -0.037 eV per atom. For the energy above the most stable polymorph in this dataset, the calculation gives 0.000 eV/atom. The calculated volume is 20.224 Å³/atom. The total magnetization is 1.68 μB per atom.

POSCAR file:
```
PuZrTc
1.0
-1.207 -0.724 2.994
-2.491 -1.662 -1.406
4.885 -3.445 -0.690
Pu Tc Zr
1 1 1
direct
0.015 0.015 0.030
0.670 0.670 0.340
0.315 0.315 0.630
```

Entry 4:
VASP calculation (PBE-GGA) on a geometry-optimized TaIrCl structure.

Summary:
For the energy above the most stable polymorph in this dataset, the calculation gives 0.773 eV/atom. The calculated volume is 19.790 Å³/atom. As for the formation energy without anion corrections: 529 meV per atom. The total magnetization is 0.00 μB per atom.

POSCAR file:
```
TaIrCl
1.0
4.379 0.000 0.000
2.189 3.792 0.000
2.189 1.264 3.575
Ta Ir Cl
1 1 1
direct
0.000 0.000 0.000
0.750 0.750 0.750
0.500 0.500 0.500
```

Number 1: VASP energy -4.406 eV per atom. Number 2: VASP energy -6.831 eV per atom. Number 3: VASP energy -11.119 eV per atom. Number 4: VASP energy -6.992 eV per atom.